# PBE AlVSn2, relaxed
# DOS(E_F)   9.122 states/eV per cell
# ρ   5.9 g/cm³
# Final energy   -4.77 eV/atom
data_AlVSn2
_chemical_formula_sum 'Al2 V2 Sn4'
_symmetry_space_group_name_H-M 'P 1'
_symmetry_Int_Tables_number 1
_cell_length_a 6.235
_cell_length_b 6.235
_cell_length_c 6.235
_cell_angle_alpha 103.15
_cell_angle_beta 103.15
_cell_angle_gamma 123.02
loop_
_symmetry_equiv_pos_as_xyz
'x,y,z'
loop_
_atom_site_label
_atom_site_type_symbol
_atom_site_fract_x
_atom_site_fract_y
_atom_site_fract_z
Al1 Al 0.000 0.000 0.000
Al2 Al 0.750 0.250 0.500
V1 V 0.250 0.750 0.500
V2 V 0.500 0.500 0.000
Sn1 Sn 0.122 0.125 0.497
Sn2 Sn 0.375 0.878 0.003
Sn3 Sn 0.628 0.625 0.503
Sn4 Sn 0.875 0.372 0.997